## Ba2CaVTc (PBE-GGA)

Data for a geometry-optimized Ba2CaVTc structure.

Summary:
- ΔE_f: 1.4396 eV/atom
- D(E_F): 1.451 states/eV/atom
- Calculated volume: 40.37 A^3/atom

```
Ba2CaVTc
1.0
5.946 0.000 0.000
0.000 5.946 0.000
0.000 0.000 5.710
Ba Ca V Tc
2 1 1 1
Cartesian
0.000 2.973 0.000
2.973 0.000 0.000
0.000 0.000 2.855
0.000 0.000 0.000
2.973 2.973 2.855
```